a | DFT (PBE) results for a relaxed LaZn2GeRh crystal.

```
LaZn2GeRh
1.0
4.776 0.000 0.000
0.000 4.776 0.000
0.000 0.000 4.725
La Zn Ge Rh
1 2 1 1
Direct
0.000 0.000 0.000
0.000 0.500 0.500
0.500 0.000 0.500
0.500 0.500 0.000
0.500 0.500 0.500
```

Computed properties:
Symmetry: P4/mmm (123)
DOS(E_F): 0.327 states/eV per atom

=====

b | DFT (PBE) results for a relaxed LaZn2GeRh crystal.

```
LaZn2GeRh
1.0
-2.078 2.128 5.457
2.078 -2.128 5.457
2.078 2.128 -5.457
La Zn Ge Rh
1 2 1 1
Direct
0.000 0.000 0.000
0.624 0.624 0.000
0.753 0.253 0.500
0.386 0.386 0.000
0.259 0.759 0.500
```

Computed properties:
Symmetry: Imm2 (44)
DOS(E_F): 0.844 states/eV per atom

=====

Which of them is the least stable? Correct choice: a.

=====

a | DFT (PBE) results for a relaxed La2ZrGeRh crystal.

```
La2ZrGeRh
1.0
5.641 0.000 0.000
0.000 5.641 0.000
0.000 0.000 4.989
La Zr Ge Rh
2 1 1 1
Direct
0.000 0.500 0.000
0.500 0.000 0.000
0.000 0.000 0.500
0.000 0.000 0.000
0.500 0.500 0.500
```

Computed properties:
Symmetry: P4/mmm (123)
DOS(E_F): 1.792 states/eV per atom

=====

b | DFT (PBE) results for a relaxed La2ZrGeRh crystal.

```
La2ZrGeRh
1.0
5.561 0.000 0.000
0.000 5.561 0.000
0.000 0.000 5.005
La Zr Ge Rh
2 1 1 1
Direct
0.000 0.500 0.000
0.500 0.000 0.000
0.000 0.000 0.000
0.000 0.000 0.500
0.500 0.500 0.500
```

Computed properties:
Symmetry: P4/mmm (123)
DOS(E_F): 1.519 states/eV per atom

=====

Which of them is the least stable? Correct choice: b.

=====

a | DFT (PBE) results for a relaxed La3GeRu crystal.

```
La3GeRu
1.0
5.407 0.000 0.000
0.000 5.407 0.000
0.000 0.000 5.407
La Ge Ru
3 1 1
Direct
0.000 0.000 0.500
0.000 0.500 0.000
0.500 0.000 0.000
0.500 0.500 0.500
0.000 0.000 0.000
```

Computed properties:
Symmetry: Pm-3m (221)
DOS(E_F): 0.626 states/eV per atom

=====

b | DFT (PBE) results for a relaxed La3GeRu crystal.

```
La3GeRu
1.0
6.292 0.000 0.000
2.908 5.723 0.000
0.487 1.975 7.935
La Ge Ru
6 2 2
Direct
0.051 0.167 0.140
0.289 0.201 0.653
0.398 0.480 0.220
0.602 0.520 0.780
0.711 0.799 0.347
0.949 0.833 0.860
0.189 0.799 0.493
0.811 0.201 0.507
0.415 0.859 0.970
0.585 0.141 0.030
```

Computed properties:
Symmetry: P-1 (2)
DOS(E_F): 0.937 states/eV per atom

=====

Which of them is the least stable? Correct choice: a.

=====

a | DFT (PBE) results for a relaxed LaGe3Ru3 crystal.

```
LaGe3Ru3
1.0
6.709 0.000 0.000
0.000 6.709 0.000
0.000 0.000 6.709
La Ge Ru
2 6 6
Direct
0.000 0.000 0.000
0.500 0.500 0.500
0.000 0.250 0.500
0.000 0.750 0.500
0.250 0.500 0.000
0.500 0.000 0.250
0.500 0.000 0.750
0.750 0.500 0.000
0.000 0.500 0.250
0.000 0.500 0.750
0.250 0.000 0.500
0.500 0.250 0.000
0.500 0.750 0.000
0.750 0.000 0.500
```

Computed properties:
Symmetry: Pm-3n (223)
DOS(E_F): 0.332 states/eV per atom

=====

b | DFT (PBE) results for a relaxed LaGe3Ru3 crystal.

```
LaGe3Ru3
1.0
3.384 1.954 7.186
-3.384 1.954 7.186
0.000 -3.907 7.186
La Ge Ru
2 6 6
Direct
0.172 0.172 0.172
0.828 0.828 0.828
0.167 0.346 0.698
0.302 0.833 0.654
0.346 0.698 0.167
0.654 0.302 0.833
0.698 0.167 0.346
0.833 0.654 0.302
0.057 0.268 0.543
0.268 0.543 0.057
0.457 0.943 0.732
0.543 0.057 0.268
0.732 0.457 0.943
0.943 0.732 0.457
```

Computed properties:
Symmetry: R-3 (148)
DOS(E_F): 0.823 states/eV per atom

=====

Which of them is the least stable? Correct choice: a.

=====

a | DFT (PBE) results for a relaxed LaGe3S crystal.

```
LaGe3S
1.0
4.944 0.000 0.000
0.000 4.944 0.000
0.000 0.000 4.944
La Ge S
1 3 1
Direct
0.000 0.000 0.000
0.000 0.500 0.500
0.500 0.000 0.500
0.500 0.500 0.000
0.500 0.500 0.500
```

Computed properties:
Symmetry: Pm-3m (221)
DOS(E_F): 0.900 states/eV per atom

=====

b | DFT (PBE) results for a relaxed LaGe3S crystal.

```
LaGe3S
1.0
5.690 0.000 0.000
0.000 5.690 0.000
0.000 0.000 5.690
La Ge S
1 3 1
Direct
0.000 0.000 0.000
0.000 0.000 0.500
0.000 0.500 0.000
0.500 0.000 0.000
0.500 0.500 0.500
```

Computed properties:
Symmetry: Pm-3m (221)
DOS(E_F): 1.437 states/eV per atom

=====

Which of them is the least stable? Correct choice: b.

=====

a | DFT (PBE) results for a relaxed La2GeS crystal.

```
La2GeS
1.0
2.161 1.248 7.004
-2.161 1.248 7.004
0.000 -2.495 7.004
La Ge S
2 1 1
Direct
0.249 0.249 0.249
0.751 0.751 0.751
0.000 0.000 0.000
0.500 0.500 0.500
```

Computed properties:
Symmetry: R-3m (166)
DOS(E_F): 0.447 states/eV per atom

=====

b | DFT (PBE) results for a relaxed La2GeS crystal.

```
La2GeS
1.0
-3.037 3.037 6.103
3.037 -3.037 6.103
3.037 3.037 -6.103
La Ge S
4 2 2
Direct
0.122 0.372 0.750
0.372 0.122 0.250
0.628 0.878 0.750
0.878 0.628 0.250
0.375 0.625 0.750
0.625 0.375 0.250
0.125 0.875 0.250
0.875 0.125 0.750
```

Computed properties:
Symmetry: I4_1/amd (141)
DOS(E_F): 0.324 states/eV per atom

=====

c | DFT (PBE) results for a relaxed La2GeS crystal.

```
La2GeS
1.0
0.000 3.699 3.699
3.699 0.000 3.699
3.699 3.699 0.000
La Ge S
2 1 1
Direct
0.250 0.250 0.250
0.750 0.750 0.750
0.000 0.000 0.000
0.500 0.500 0.500
```

Computed properties:
Symmetry: Fm-3m (225)
DOS(E_F): 0.196 states/eV per atom

=====

d | DFT (PBE) results for a relaxed La2GeS crystal.

```
La2GeS
1.0
2.124 1.226 7.391
-2.124 1.226 7.391
0.000 -2.452 7.391
La Ge S
2 1 1
Direct
0.000 0.000 0.000
0.173 0.173 0.173
0.587 0.587 0.587
0.756 0.756 0.756
```

Computed properties:
Symmetry: R3m (160)
DOS(E_F): 0.652 states/eV per atom

=====

Which of them is the least stable? Correct choice: c.

=====

a | DFT (PBE) results for a relaxed La2Ge2Sb crystal.

```
La2Ge2Sb
1.0
7.738 0.000 0.000
0.000 7.738 0.000
0.000 0.000 4.466
La Ge Sb
4 4 2
Direct
0.179 0.321 0.000
0.321 0.821 0.000
0.679 0.179 0.000
0.821 0.679 0.000
0.118 0.618 0.500
0.382 0.118 0.500
0.618 0.882 0.500
0.882 0.382 0.500
0.000 0.000 0.500
0.500 0.500 0.500
```

Computed properties:
Symmetry: P4/mbm (127)
DOS(E_F): 0.471 states/eV per atom

=====

b | DFT (PBE) results for a relaxed La2Ge2Sb crystal.

```
La2Ge2Sb
1.0
-2.005 2.005 8.707
2.005 -2.005 8.707
2.005 2.005 -8.707
La Ge Sb
2 2 1
Direct
0.105 0.105 0.000
0.895 0.895 0.000
0.250 0.750 0.500
0.750 0.250 0.500
0.500 0.500 0.000
```

Computed properties:
Symmetry: I4/mmm (139)
DOS(E_F): 0.515 states/eV per atom

=====

Which of them is the least stable? Correct choice: b.

=====

a | DFT (PBE) results for a relaxed LaGe2Sb2 crystal.

```
LaGe2Sb2
1.0
8.216 0.000 0.000
0.000 8.216 0.000
0.000 0.000 4.040
La Ge Sb
2 4 4
Direct
0.000 0.000 0.000
0.500 0.500 0.000
0.204 0.296 0.500
0.296 0.796 0.500
0.704 0.204 0.500
0.796 0.704 0.500
0.128 0.628 0.000
0.372 0.128 0.000
0.628 0.872 0.000
0.872 0.372 0.000
```

Computed properties:
Symmetry: P4/mbm (127)
DOS(E_F): 0.881 states/eV per atom

=====

b | DFT (PBE) results for a relaxed LaGe2Sb2 crystal.

```
LaGe2Sb2
1.0
7.991 0.000 0.000
0.000 7.991 0.000
0.000 0.000 4.030
La Ge Sb
2 4 4
Direct
0.000 0.000 0.000
0.500 0.500 0.000
0.117 0.383 0.000
0.383 0.883 0.000
0.617 0.117 0.000
0.883 0.617 0.000
0.203 0.703 0.500
0.297 0.203 0.500
0.703 0.797 0.500
0.797 0.297 0.500
```

Computed properties:
Symmetry: P4/mbm (127)
DOS(E_F): 0.879 states/eV per atom

=====

c | DFT (PBE) results for a relaxed LaGe2Sb2 crystal.

```
LaGe2Sb2
1.0
-2.203 2.203 6.939
2.203 -2.203 6.939
2.203 2.203 -6.939
La Ge Sb
1 2 2
Direct
0.000 0.000 0.000
0.413 0.413 0.000
0.587 0.587 0.000
0.250 0.750 0.500
0.750 0.250 0.500
```

Computed properties:
Symmetry: I4/mmm (139)
DOS(E_F): 0.617 states/eV per atom

=====

Which of them is the least stable? Correct choice: a.

=====

a | DFT (PBE) results for a relaxed LaGe3Sb crystal.

```
LaGe3Sb
1.0
5.277 0.000 0.000
0.000 5.277 0.000
0.000 0.000 5.277
La Ge Sb
1 3 1
Direct
0.000 0.000 0.000
0.000 0.500 0.500
0.500 0.000 0.500
0.500 0.500 0.000
0.500 0.500 0.500
```

Computed properties:
Symmetry: Pm-3m (221)
DOS(E_F): 1.076 states/eV per atom

=====

b | DFT (PBE) results for a relaxed LaGe3Sb crystal.

```
LaGe3Sb
1.0
5.608 0.000 0.000
0.000 5.608 0.000
0.000 0.000 5.608
La Ge Sb
1 3 1
Direct
0.000 0.000 0.000
0.000 0.000 0.500
0.000 0.500 0.000
0.500 0.000 0.000
0.500 0.500 0.500
```

Computed properties:
Symmetry: Pm-3m (221)
DOS(E_F): 1.072 states/eV per atom

=====

Which of them is the least stable? Correct choice: b.

=====

a | DFT (PBE) results for a relaxed La2GeSb2 crystal.

```
La2GeSb2
1.0
8.378 0.000 0.000
0.000 8.378 0.000
0.000 0.000 4.425
La Ge Sb
4 2 4
Direct
0.154 0.346 0.000
0.346 0.846 0.000
0.654 0.154 0.000
0.846 0.654 0.000
0.000 0.000 0.000
0.500 0.500 0.000
0.159 0.659 0.500
0.341 0.159 0.500
0.659 0.841 0.500
0.841 0.341 0.500
```

Computed properties:
Symmetry: P4/mbm (127)
DOS(E_F): 0.841 states/eV per atom

=====

b | DFT (PBE) results for a relaxed La2GeSb2 crystal.

```
La2GeSb2
1.0
8.185 0.000 0.000
0.000 8.185 0.000
0.000 0.000 4.504
La Ge Sb
4 2 4
Direct
0.158 0.342 0.000
0.342 0.842 0.000
0.658 0.158 0.000
0.842 0.658 0.000
0.000 0.000 0.500
0.500 0.500 0.500
0.152 0.652 0.500
0.348 0.152 0.500
0.652 0.848 0.500
0.848 0.348 0.500
```

Computed properties:
Symmetry: P4/mbm (127)
DOS(E_F): 0.208 states/eV per atom

=====

Which of them is the least stable? Correct choice: a.

=====

a | DFT (PBE) results for a relaxed LaGeSb2Te crystal.

```
LaGeSb2Te
1.0
6.042 0.000 0.000
0.000 6.042 0.000
0.000 0.000 6.023
La Ge Sb Te
1 1 2 1
Direct
0.000 0.000 0.000
0.500 0.500 0.500
0.000 0.500 0.000
0.500 0.000 0.000
0.000 0.000 0.500
```

Computed properties:
Symmetry: P4/mmm (123)
DOS(E_F): 1.260 states/eV per atom

=====

b | DFT (PBE) results for a relaxed LaGeSb2Te crystal.

```
LaGeSb2Te
1.0
5.354 0.000 0.000
0.000 5.354 0.000
0.000 0.000 5.457
La Ge Sb Te
1 1 2 1
Direct
0.000 0.000 0.000
0.500 0.500 0.500
0.000 0.500 0.500
0.500 0.000 0.500
0.500 0.500 0.000
```

Computed properties:
Symmetry: P4/mmm (123)
DOS(E_F): 0.712 states/eV per atom

=====

Which of them is the least stable? Correct choice: a.